ReTcMoAs2 | SCAN | PBEsol geometry

POSCAR file:
```
ReTcMoAs2
1.0
4.603 0.000 0.000
0.000 4.603 0.000
0.000 0.000 4.732
Re Tc Mo As
1 1 1 2
Direct
0.000 0.000 0.000 Re
0.000 0.000 0.500 Tc
0.500 0.500 0.000 Mo
0.000 0.500 0.500 As
0.500 0.000 0.500 As
```

Computed properties:
- SG = P4/mmm (123)
- DFT total energy (eV/f.u.) = -173.77

---

NaLiB2Mo | SCAN | PBEsol geometry

POSCAR file:
```
NaLiB2Mo
1.0
4.332 0.000 0.000
0.000 4.332 0.000
0.000 0.000 4.614
Na Li B Mo
1 1 2 1
Direct
0.000 0.000 0.000 Na
0.500 0.500 0.500 Li
0.000 0.500 0.000 B
0.500 0.000 0.000 B
0.000 0.000 0.500 Mo
```

Computed properties:
- SG = P4/mmm (123)
- DFT total energy (eV/f.u.) = -43.41

---

Sr2InAg | SCAN | PBEsol geometry

POSCAR file:
```
Sr2InAg
1.0
6.296 -1.923 0.000
6.296 1.923 0.000
-2.365 0.000 4.983
Sr In Ag
2 1 1
Direct
0.000 0.000 0.000 Sr
0.201 0.201 0.696 Sr
0.774 0.774 0.268 In
0.455 0.455 0.457 Ag
```

Computed properties:
- SG = Cm (8)
- DFT total energy (eV/f.u.) = -110.61

---

Al2InOs | SCAN | PBEsol geometry

POSCAR file:
```
Al2InOs
1.0
1.495 -2.419 0.000
1.495 2.419 0.000
0.000 0.000 9.541
Al In Os
2 1 1
Direct
0.000 0.000 0.000 Al
0.500 0.500 0.249 Al
0.000 0.000 0.544 In
0.500 0.500 0.795 Os
```

Computed properties:
- SG = Cmm2 (35)
- DFT total energy (eV/f.u.) = -119.71

---

SrAcIn2 | SCAN | PBEsol geometry

POSCAR file:
```
SrAcIn2
1.0
0.000 4.020 4.020
4.020 0.000 4.020
4.020 4.020 0.000
Sr Ac In
1 1 2
Direct
0.000 0.000 0.000 Sr
0.500 0.500 0.500 Ac
0.250 0.250 0.250 In
0.750 0.750 0.750 In
```

Computed properties:
- SG = Fm-3m (225)
- DFT total energy (eV/f.u.) = -181.86

---

NaTc2Os | SCAN | PBEsol geometry

POSCAR file:
```
NaTc2Os
1.0
0.000 3.063 3.063
3.063 0.000 3.063
3.063 3.063 0.000
Na Tc Os
1 2 1
Direct
0.000 0.000 0.000 Na
0.250 0.250 0.250 Tc
0.750 0.750 0.750 Tc
0.500 0.500 0.500 Os
```

Computed properties:
- SG = Fm-3m (225)
- DFT total energy (eV/f.u.) = -143.46

---

ErMnFeO5 | SCAN | PBEsol geometry

POSCAR file:
```
ErMnFeO5
1.0
7.153 0.000 0.000
0.000 8.420 0.000
0.000 0.000 5.617
Er Mn Fe O
4 4 4 20
Direct
0.134 0.169 0.000 Er
0.366 0.669 0.000 Er
0.634 0.331 0.000 Er
0.866 0.831 0.000 Er
0.000 0.500 0.251 Mn
0.000 0.500 0.749 Mn
0.500 0.000 0.251 Mn
0.500 0.000 0.749 Mn
0.108 0.853 0.500 Fe
0.392 0.353 0.500 Fe
0.608 0.647 0.500 Fe
0.892 0.147 0.500 Fe
0.000 0.000 0.264 O
0.000 0.000 0.736 O
0.103 0.705 0.240 O
0.103 0.705 0.760 O
0.153 0.434 0.500 O
0.165 0.443 0.000 O
0.335 0.943 0.000 O
0.347 0.934 0.500 O
0.397 0.205 0.240 O
0.397 0.205 0.760 O
0.500 0.500 0.264 O
0.500 0.500 0.736 O
0.603 0.795 0.240 O
0.603 0.795 0.760 O
0.653 0.066 0.500 O
0.665 0.057 0.000 O
0.835 0.557 0.000 O
0.847 0.566 0.500 O
0.897 0.295 0.240 O
0.897 0.295 0.760 O
```

Computed properties:
- SG = Pbam (55)
- raw formation energy (eV per formula unit) = -21.242
- DFT total energy (eV/f.u.) = -139.12

---

BiP2PbCl | SCAN | PBEsol geometry

POSCAR file:
```
BiP2PbCl
1.0
5.151 0.000 0.000
0.000 5.151 0.000
0.000 0.000 5.079
Bi P Pb Cl
1 2 1 1
Direct
0.000 0.000 0.000 Bi
0.000 0.500 0.500 P
0.500 0.000 0.500 P
0.500 0.500 0.500 Pb
0.500 0.500 0.000 Cl
```

Computed properties:
- SG = P4/mmm (123)
- raw formation energy (eV per formula unit) = 3.702
- DFT total energy (eV/f.u.) = -179.43

---

H2AuSe | SCAN | PBEsol geometry

POSCAR file:
```
H2AuSe
1.0
-2.553 2.553 3.774
2.553 -2.553 3.774
2.553 2.553 -3.774
H Au Se
4 2 2
Direct
0.022 0.125 0.397 H
0.375 0.978 0.103 H
0.728 0.625 0.603 H
0.875 0.272 0.897 H
0.000 0.000 0.000 Au
0.750 0.250 0.500 Au
0.250 0.750 0.500 Se
0.500 0.500 0.000 Se
```

Computed properties:
- SG = I-42d (122)
- DFT total energy (eV/f.u.) = -93.70

---

Mn2Nb2Sb | SCAN | PBEsol geometry

POSCAR file:
```
Mn2Nb2Sb
1.0
-1.607 1.607 7.819
1.607 -1.607 7.819
1.607 1.607 -7.819
Mn Nb Sb
2 2 1
Direct
0.250 0.750 0.500 Mn
0.750 0.250 0.500 Mn
0.117 0.117 0.000 Nb
0.883 0.883 0.000 Nb
0.500 0.500 0.000 Sb
```

Computed properties:
- SG = I4/mmm (139)
- raw formation energy (eV per formula unit) = 1.264
- DFT total energy (eV/f.u.) = -138.77

---

- Which of these has the highest DFT total energy?
  NaLiB2Mo